Computed, not measured: a relaxed structure of FeGeI2N at the PBE level of DFT.

Lattice parameters (Å, degrees): 5.3660 5.3660 3.5272 90.00 90.00 90.00
With the nearest neighbours (Å) after each atom.
Space group P4/mmm (No. 123)
One atom of each set of equivalent atoms:
Fe  0.0000  0.0000  0.0000 [1 per cell]  2 N 1.76
Ge  0.5000  0.5000  0.5000 [1 per cell]  8 I 3.21, 2 Ge 3.53
I  0.0000  0.5000  0.0000 [2 per cell]  2 Fe 2.68
N  0.0000  0.0000  0.5000 [1 per cell]  2 Fe 1.76

- Energy relative to the elements, uncorrected: 461.8 meV per atom

Computed, not measured: a relaxed structure of Ba2TeH at the PBE level of DFT.

Lattice parameters (Å, degrees): 8.1204 8.1204 8.3469 90.00 90.00 90.00
With the nearest neighbours (Å) after each atom.
Space group I-42d (No. 122)
One atom of each set of equivalent atoms:
Ba  0.1765  0.2500  0.1250 [8 per cell]  2 H 2.70
Te  0.0000  0.0000  0.5000 [4 per cell]  4 Ba 3.48
H  0.0000  0.0000  0.0000 [4 per cell]  4 Ba 2.70

- ΔE to the lowest computed polymorph: 0.30 eV/f.u.

Number 1: total moment 0.0 μB per cell, total energy -4.439 eV per atom. Number 2: total moment 4.0 μB per cell, total energy -3.522 eV per atom.